(1)
A geometry-optimized RbMg14Zr structure, computed with PBE.

Excess energy over the best structure of this formula in the dataset (kJ/mol of formula units): 45
E_tot (eV per atom): -1.846
Crystal system: hexagonal

a b c (Å): 6.622 6.622 10.481
angles (deg): 90.00 90.00 120.00
Positions (direct):
1 Rb 0.000 0.000 0.000
2 Mg 0.011 0.505 0.000
3 Mg 0.170 0.340 0.267
4 Mg 0.170 0.340 0.733
5 Mg 0.170 0.830 0.267
6 Mg 0.170 0.830 0.733
7 Mg 0.495 0.505 0.000
8 Mg 0.495 0.989 0.000
9 Mg 0.501 0.002 0.500
10 Mg 0.501 0.499 0.500
11 Mg 0.660 0.830 0.267
12 Mg 0.660 0.830 0.733
13 Mg 0.667 0.333 0.245
14 Mg 0.667 0.333 0.755
15 Mg 0.998 0.499 0.500
16 Zr 0.000 0.000 0.500

(2)
A geometry-optimized LiIn2Hg structure, computed with PBE.

E_tot (eV per atom): -2.000
Crystal system: orthorhombic

a b c (Å): 3.277 3.277 9.275
angles (deg): 90.00 90.00 108.88
Positions (direct):
1 Li 0.000 0.000 0.000
2 In 0.500 0.500 0.236
3 In 0.500 0.500 0.764
4 Hg 0.000 0.000 0.500